<one>
A relaxed La2InCoHg crystal, computed with PBE-GGA. Values from VASP.

Structure (Quantum ESPRESSO input):
```
&SYSTEM
  ibrav = 0, nat = 5, ntyp = 4
/
ATOMIC_SPECIES
Hg 200.59 Hg.upf
In 114.82 In.upf
La 138.91 La.upf
Co 58.93 Co.upf
ATOMIC_POSITIONS angstrom
Hg 0.000 0.000 2.550
In 2.593 2.593 2.550
La 2.593 0.000 0.000
La 0.000 2.593 0.000
Co 0.000 0.000 0.000
CELL_PARAMETERS angstrom
5.186 0.000 0.000
0.000 5.186 0.000
0.000 0.000 5.100
```

Results
- magnetization (μB per atom) = 0.000
- crystal system = tetragonal
- space-group type = P4/mmm, No. 123


<two>
A relaxed La2InCoHg crystal, computed with PBE-GGA. Values from VASP.

Structure (Quantum ESPRESSO input):
```
&SYSTEM
  ibrav = 0, nat = 5, ntyp = 4
/
ATOMIC_SPECIES
Hg 200.59 Hg.upf
La 138.91 La.upf
Co 58.93 Co.upf
In 114.82 In.upf
ATOMIC_POSITIONS angstrom
Hg 2.975 -2.537 -2.172
La 1.620 0.813 -1.894
La -0.543 -2.155 -1.389
Co 0.000 0.000 0.000
In 1.898 -1.194 1.111
CELL_PARAMETERS angstrom
-1.085 -4.311 -2.778
3.239 1.625 -3.788
3.797 -2.388 2.222
```

Results
- magnetization (μB per atom) = 0.000
- crystal system = tetragonal
- space-group type = P4/mmm, No. 123


Which structure is the least stable? The one labeled <one>.


<one>
A relaxed InCoSn2Hg crystal, computed with PBE-GGA. Values from VASP.

Structure (Quantum ESPRESSO input):
```
&SYSTEM
  ibrav = 0, nat = 5, ntyp = 4
/
ATOMIC_SPECIES
Co 58.93 Co.upf
In 114.82 In.upf
Sn 118.71 Sn.upf
Hg 200.59 Hg.upf
ATOMIC_POSITIONS angstrom
Co 0.000 0.000 0.000
In 2.450 2.450 2.588
Sn 0.000 2.450 0.000
Sn 2.450 0.000 0.000
Hg 0.000 0.000 2.588
CELL_PARAMETERS angstrom
4.901 0.000 0.000
0.000 4.901 0.000
0.000 0.000 5.176
```

Results
- magnetization (μB per atom) = 0.000
- crystal system = tetragonal
- space-group type = P4/mmm, No. 123


<two>
A relaxed InCoSn2Hg crystal, computed with PBE-GGA. Values from VASP.

Structure (Quantum ESPRESSO input):
```
&SYSTEM
  ibrav = 0, nat = 5, ntyp = 4
/
ATOMIC_SPECIES
Sn 118.71 Sn.upf
In 114.82 In.upf
Co 58.93 Co.upf
Hg 200.59 Hg.upf
ATOMIC_POSITIONS angstrom
Sn -0.459 2.006 1.364
Sn 1.062 -1.082 1.949
In 2.222 0.967 -0.674
Co 0.000 0.000 0.000
Hg 2.824 1.891 2.640
CELL_PARAMETERS angstrom
-0.919 4.013 2.728
2.123 -2.164 3.898
4.444 1.933 -1.347
```

Results
- magnetization (μB per atom) = 0.001
- crystal system = tetragonal
- space-group type = P4/mmm, No. 123


Which structure is the least stable? The one labeled <one>.


<one>
A relaxed CoHg2Ir crystal, computed with PBE-GGA. Values from VASP.

Structure (Quantum ESPRESSO input):
```
&SYSTEM
  ibrav = 0, nat = 4, ntyp = 3
/
ATOMIC_SPECIES
Hg 200.59 Hg.upf
Co 58.93 Co.upf
Ir 192.22 Ir.upf
ATOMIC_POSITIONS angstrom
Hg -0.216 -0.083 -0.297
Hg -4.081 -1.571 -5.610
Co -12.835 -4.941 -17.644
Ir -8.274 -3.185 -11.373
CELL_PARAMETERS angstrom
-4.411 -1.720 -8.786
-5.757 -3.753 -7.237
-6.769 -1.047 -7.259
```

Results
- magnetization (μB per atom) = 0.626
- crystal system = trigonal
- space-group type = R3m, No. 160


<two>
A relaxed CoHg2Ir crystal, computed with PBE-GGA. Values from VASP.

Structure (Quantum ESPRESSO input):
```
&SYSTEM
  ibrav = 0, nat = 4, ntyp = 3
/
ATOMIC_SPECIES
Hg 200.59 Hg.upf
Co 58.93 Co.upf
Ir 192.22 Ir.upf
ATOMIC_POSITIONS angstrom
Hg 4.854 1.588 2.474
Hg 8.655 2.831 0.041
Co 2.414 0.790 1.251
Ir 7.243 2.369 3.754
CELL_PARAMETERS angstrom
4.806 -0.003 0.006
3.875 2.842 0.006
0.976 0.319 4.994
```

Results
- magnetization (μB per atom) = 0.489
- crystal system = monoclinic
- space-group type = C2/m, No. 12


Which structure is the least stable? The one labeled <two>.


<one>
A relaxed CoHg2Ir crystal, computed with PBE-GGA. Values from VASP.

Structure (Quantum ESPRESSO input):
```
&SYSTEM
  ibrav = 0, nat = 4, ntyp = 3
/
ATOMIC_SPECIES
Hg 200.59 Hg.upf
Co 58.93 Co.upf
Ir 192.22 Ir.upf
ATOMIC_POSITIONS angstrom
Hg -2.696 -0.611 -0.826
Hg 0.000 0.000 0.000
Co -2.216 1.560 0.990
Ir -3.072 2.110 -1.709
CELL_PARAMETERS angstrom
-2.592 4.280 0.107
-3.552 -0.061 -3.526
1.232 -3.271 3.583
```

Results
- magnetization (μB per atom) = 0.530
- crystal system = tetragonal
- space-group type = I-4m2, No. 119


<two>
A relaxed CoHg2Ir crystal, computed with PBE-GGA. Values from VASP.

Structure (Quantum ESPRESSO input):
```
&SYSTEM
  ibrav = 0, nat = 4, ntyp = 3
/
ATOMIC_SPECIES
Hg 200.59 Hg.upf
Co 58.93 Co.upf
Ir 192.22 Ir.upf
ATOMIC_POSITIONS angstrom
Hg -0.047 -0.060 -0.049
Hg -6.924 -8.817 -7.102
Co -10.456 -13.316 -10.726
Ir -3.485 -4.439 -3.575
CELL_PARAMETERS angstrom
-3.612 -5.654 -6.105
-4.273 -7.135 -3.622
-6.057 -4.966 -4.575
```

Results
- magnetization (μB per atom) = 0.445
- crystal system = trigonal
- space-group type = R-3m, No. 166


Which structure is the least stable? The one labeled <one>.


<one>
A relaxed CoHg2Ir crystal, computed with PBE-GGA. Values from VASP.

Structure (Quantum ESPRESSO input):
```
&SYSTEM
  ibrav = 0, nat = 4, ntyp = 3
/
ATOMIC_SPECIES
Ir 192.22 Ir.upf
Co 58.93 Co.upf
Hg 200.59 Hg.upf
ATOMIC_POSITIONS angstrom
Ir 1.569 1.569 1.694
Co 1.569 1.569 5.082
Hg 0.000 0.000 6.693
Hg 0.000 0.000 3.471
CELL_PARAMETERS angstrom
3.137 0.000 0.000
0.000 3.137 0.000
0.000 0.000 6.776
```

Results
- magnetization (μB per atom) = 0.352
- crystal system = tetragonal
- space-group type = P4/mmm, No. 123


<two>
A relaxed CoHg2Ir crystal, computed with PBE-GGA. Values from VASP.

Structure (Quantum ESPRESSO input):
```
&SYSTEM
  ibrav = 0, nat = 4, ntyp = 3
/
ATOMIC_SPECIES
Co 58.93 Co.upf
Hg 200.59 Hg.upf
Ir 192.22 Ir.upf
ATOMIC_POSITIONS angstrom
Co 2.024 1.984 1.240
Hg 3.053 -0.639 1.240
Hg 0.195 0.108 0.000
Ir 4.145 2.296 0.000
CELL_PARAMETERS angstrom
5.751 -0.007 0.000
3.044 4.879 0.000
-3.776 -3.559 2.480
```

Results
- magnetization (μB per atom) = 0.530
- crystal system = orthorhombic
- space-group type = Imm2, No. 44


Which structure is the least stable? The one labeled <one>.


<one>
A relaxed KCoHg2 crystal, computed with PBE-GGA. Values from VASP.

Structure (Quantum ESPRESSO input):
```
&SYSTEM
  ibrav = 0, nat = 8, ntyp = 3
/
ATOMIC_SPECIES
Hg 200.59 Hg.upf
Co 58.93 Co.upf
K 39.10 K.upf
ATOMIC_POSITIONS angstrom
Hg -6.818 3.922 -0.433
Hg -5.675 7.928 1.622
Hg -3.887 4.467 -0.908
Hg -4.953 5.644 3.458
Co 0.000 0.000 0.000
Co -5.333 5.490 0.935
K -3.960 0.908 -0.685
K -6.470 2.415 3.430
CELL_PARAMETERS angstrom
-2.823 3.982 -3.181
-5.096 -2.167 1.810
-3.883 6.090 5.735
```

Results
- magnetization (μB per atom) = 0.342
- crystal system = tetragonal
- space-group type = I-42d, No. 122


<two>
A relaxed KCoHg2 crystal, computed with PBE-GGA. Values from VASP.

Structure (Quantum ESPRESSO input):
```
&SYSTEM
  ibrav = 0, nat = 4, ntyp = 3
/
ATOMIC_SPECIES
K 39.10 K.upf
Hg 200.59 Hg.upf
Co 58.93 Co.upf
ATOMIC_POSITIONS angstrom
K -1.047 0.112 3.491
Hg 0.300 -0.071 0.414
Hg 2.229 -0.528 3.075
Co 1.677 1.771 1.801
CELL_PARAMETERS angstrom
-0.195 -2.258 5.178
5.253 1.059 1.799
-4.428 3.082 -1.685
```

Results
- magnetization (μB per atom) = 0.378
- crystal system = orthorhombic
- space-group type = Immm, No. 71


<three>
A relaxed KCoHg2 crystal, computed with PBE-GGA. Values from VASP.

Structure (Quantum ESPRESSO input):
```
&SYSTEM
  ibrav = 0, nat = 4, ntyp = 3
/
ATOMIC_SPECIES
Hg 200.59 Hg.upf
K 39.10 K.upf
Co 58.93 Co.upf
ATOMIC_POSITIONS angstrom
Hg 0.000 0.000 0.000
Hg -2.415 4.095 1.413
K 0.250 3.123 0.080
Co 2.694 0.611 1.449
CELL_PARAMETERS angstrom
5.359 -0.361 0.116
-4.860 6.608 0.043
0.029 1.582 2.783
```

Results
- magnetization (μB per atom) = 0.401
- crystal system = monoclinic
- space-group type = C2/m, No. 12


Which structure is the least stable? The one labeled <three>.